1.
Material: Li2NdErS4
Method: DFT, PBE
State: relaxed

Values from the calculation:
calculated volume = 169 Å³/f.u.
size of the total moment = 0.000 Bohr magnetons per cell
ΔE_f (raw) = -174.7 kJ per mole of atoms

Cell lengths 6.601, 3.970, 6.881 Å; angles 90.00, 110.32, 90.00 degrees
Fractional coordinates of all 8 atoms:
1 Li 0.000 0.000 0.000
2 Li 0.000 0.500 0.500
3 Nd 0.500 0.000 0.500
4 Er 0.500 0.500 0.000
5 S 0.245 0.500 0.238
6 S 0.249 0.000 0.759
7 S 0.751 0.000 0.241
8 S 0.755 0.500 0.762

=====

2.
Material: Th2NpMnN5
Method: DFT, PBE
State: relaxed

Values from the calculation:
calculated volume = 128 Å³/f.u.
size of the total moment = 12.695 Bohr magnetons per cell
ΔE_f (raw) = -86.1 kJ per mole of atoms

Cell lengths 6.643, 6.643, 5.791 Å; angles 90.00, 90.00, 90.00 degrees
Fractional coordinates of all 18 atoms:
1 Th 0.169 0.331 0.000
2 Th 0.331 0.831 0.000
3 Th 0.669 0.169 0.000
4 Th 0.831 0.669 0.000
5 Np 0.000 0.000 0.500
6 Np 0.500 0.500 0.500
7 Mn 0.000 0.500 0.500
8 Mn 0.500 0.000 0.500
9 N 0.000 0.000 0.000
10 N 0.150 0.650 0.278
11 N 0.150 0.650 0.722
12 N 0.350 0.150 0.278
13 N 0.350 0.150 0.722
14 N 0.500 0.500 0.000
15 N 0.650 0.850 0.278
16 N 0.650 0.850 0.722
17 N 0.850 0.350 0.278
18 N 0.850 0.350 0.722

=====

3.
Material: Al3AsC
Method: DFT, PBE
State: relaxed

Values from the calculation:
calculated volume = 74 Å³/f.u.
formation energy = 0.27 eV per atom
size of the total moment = 0.000 Bohr magnetons per cell

Cell lengths 4.195, 4.195, 4.195 Å; angles 90.00, 90.00, 90.00 degrees
Fractional coordinates of all 5 atoms:
1 Al 0.000 0.000 0.500
2 Al 0.000 0.500 0.000
3 Al 0.500 0.000 0.000
4 As 0.500 0.500 0.500
5 C 0.000 0.000 0.000

=====

4.
Material: GdPaCuRh
Method: DFT, PBE
State: relaxed

Values from the calculation:
calculated volume = 83 Å³/f.u.
formation energy = -0.30 eV per atom
size of the total moment = 31.144 Bohr magnetons per cell

Cell lengths 6.932, 6.932, 6.932 Å; angles 90.00, 90.00, 90.00 degrees
Fractional coordinates of all 16 atoms:
1 Gd 0.000 0.000 0.000
2 Gd 0.000 0.500 0.500
3 Gd 0.500 0.000 0.500
4 Gd 0.500 0.500 0.000
5 Pa 0.000 0.000 0.500
6 Pa 0.000 0.500 0.000
7 Pa 0.500 0.000 0.000
8 Pa 0.500 0.500 0.500
9 Cu 0.250 0.250 0.250
10 Cu 0.250 0.750 0.750
11 Cu 0.750 0.250 0.750
12 Cu 0.750 0.750 0.250
13 Rh 0.250 0.250 0.750
14 Rh 0.250 0.750 0.250
15 Rh 0.750 0.250 0.250
16 Rh 0.750 0.750 0.750

=====

5.
Material: Ta3SiTe
Method: DFT, PBE
State: relaxed

Values from the calculation:
calculated volume = 105 Å³/f.u.
relative energy among the computed polymorphs = 0 meV/atom
size of the total moment = 0.000 Bohr magnetons per cell
ΔE_f (raw) = 87.5 kJ per mole of atoms

Cell lengths 4.714, 4.714, 4.714 Å; angles 90.00, 90.00, 90.00 degrees
Fractional coordinates of all 5 atoms:
1 Ta 0.000 0.000 0.500
2 Ta 0.000 0.500 0.000
3 Ta 0.500 0.000 0.000
4 Si 0.000 0.000 0.000
5 Te 0.500 0.500 0.500

=====

6.
Material: Cs2ReBr5
Method: DFT, PBE
State: relaxed

Values from the calculation:
calculated volume = 334 Å³/f.u.
size of the total moment = 8.002 Bohr magnetons per cell
ΔE_f (raw) = -87.5 kJ per mole of atoms

Cell lengths 7.877, 7.877, 10.754 Å; angles 90.00, 90.00, 90.00 degrees
Fractional coordinates of all 16 atoms:
1 Cs 0.000 0.500 0.000
2 Cs 0.000 0.500 0.500
3 Cs 0.500 0.000 0.000
4 Cs 0.500 0.000 0.500
5 Re 0.000 0.000 0.230
6 Re 0.500 0.500 0.730
7 Br 0.000 0.000 0.982
8 Br 0.226 0.226 0.254
9 Br 0.226 0.774 0.254
10 Br 0.274 0.274 0.754
11 Br 0.274 0.726 0.754
12 Br 0.500 0.500 0.482
13 Br 0.726 0.274 0.754
14 Br 0.726 0.726 0.754
15 Br 0.774 0.226 0.254
16 Br 0.774 0.774 0.254